[1]
YHgCl2 | SCAN | single point on PBEsol structure

Unit cell a=4.0797 b=4.3576 c=4.9162 alpha=90.00 beta=90.00 gamma=90.00
With the nearest neighbours (Å) after each atom.
Atoms (fractional coordinates):
Y1 0.0000 0.5000 0.5000  8 Cl 2.98-3.28, 4 Hg 3.19
Hg1 0.5000 0.5000 0.0000  8 Cl 2.98-3.28, 4 Y 3.19
Cl1 0.0000 0.0000 0.0000  4 Hg 2.98, 4 Cl 3.19, 4 Y 3.28
Cl2 0.5000 0.0000 0.5000  4 Y 2.98, 4 Cl 3.19, 4 Hg 3.28

Properties
DFT total energy = -29.182 eV per atom
Total magnetic moment = 0.0 μB per formula unit
Offset from the most stable computed form = 28.55 kJ per mole of atoms
Uncorrected formation energy = -1191 meV/atom

[2]
ZnHg2Cl | SCAN | single point on PBEsol structure

Unit cell a=3.7231 b=3.7048 c=7.7137 alpha=76.23 beta=76.04 gamma=59.84
With the nearest neighbours (Å) after each atom.
Atoms (fractional coordinates):
Zn1 0.0000 0.5000 0.5000  6 Hg 2.72
Hg1 0.2574 0.7587 0.7265  3 Zn 2.72, 3 Cl 2.95
Hg2 0.7426 0.2413 0.2735  3 Zn 2.72, 3 Cl 2.95
Cl1 0.5000 0.0000 0.0000  6 Hg 2.95

Properties
DFT total energy = -39.691 eV per atom
Total magnetic moment = 0.0 μB per formula unit
Offset from the most stable computed form = 0.00 kJ per mole of atoms
Uncorrected formation energy = -234 meV/atom

[3]
ZnHgCl2 | SCAN | single point on PBEsol structure

Unit cell a=3.9513 b=5.4296 c=5.4296 alpha=90.08 beta=64.37 gamma=64.37
With the nearest neighbours (Å) after each atom.
Atoms (fractional coordinates):
Zn1 0.0000 0.5000 0.5000  4 Cl 2.71
Hg1 0.0000 0.0000 0.0000  4 Cl 2.71
Cl1 0.0000 0.0000 0.5000  2 Zn 2.71, 2 Hg 2.71
Cl2 0.0000 0.5000 0.0000  2 Hg 2.71, 2 Zn 2.71

Properties
DFT total energy = -24.584 eV per atom
Total magnetic moment = 0.0 μB per formula unit
Offset from the most stable computed form = 69.44 kJ per mole of atoms
Uncorrected formation energy = -175 meV/atom

[4]
ZnHgCl2 | SCAN | single point on PBEsol structure

Unit cell a=3.8471 b=3.8471 c=6.6979 alpha=106.69 beta=106.69 gamma=90.00
With the nearest neighbours (Å) after each atom.
Atoms (fractional coordinates):
Zn1 0.2500 0.7500 0.5000  4 Cl 2.72
Hg1 0.5000 0.5000 0.0000  4 Cl 2.72
Cl1 0.0000 0.0000 0.0000  4 Hg 2.72
Cl2 0.7500 0.2500 0.5000  4 Zn 2.72

Properties
DFT total energy = -24.584 eV per atom
Total magnetic moment = 0.0 μB per formula unit
Offset from the most stable computed form = 69.45 kJ per mole of atoms
Uncorrected formation energy = -175 meV/atom

[5]
Zn2HgCl | SCAN | single point on PBEsol structure

Unit cell a=3.8153 b=3.8153 c=6.1521 alpha=108.06 beta=108.06 gamma=90.00
With the nearest neighbours (Å) after each atom.
Atoms (fractional coordinates):
Zn1 0.0000 0.0000 0.0000  4 Cl 2.70
Zn2 0.7500 0.2500 0.5000  4 Hg 2.70
Hg1 0.2500 0.7500 0.5000  4 Zn 2.70
Cl1 0.5000 0.5000 0.0000  4 Zn 2.70

Properties
DFT total energy = -25.789 eV per atom
Total magnetic moment = 0.0 μB per formula unit
Uncorrected formation energy = 4 meV/atom

[6]
ZnHgCl2 | SCAN | single point on PBEsol structure

Unit cell a=4.8407 b=4.8407 c=4.8407 alpha=60.00 beta=60.00 gamma=60.00
With the nearest neighbours (Å) after each atom.
Atoms (fractional coordinates):
Zn1 0.2500 0.2500 0.2500  4 Hg 2.96, 4 Cl 2.96
Hg1 0.5000 0.5000 0.5000  4 Zn 2.96, 4 Cl 2.96
Cl1 0.0000 0.0000 0.0000  4 Cl 2.96, 4 Zn 2.96
Cl2 0.7500 0.7500 0.7500  4 Cl 2.96, 4 Hg 2.96

Properties
DFT total energy = -24.406 eV per atom
Total magnetic moment = 0.0 μB per formula unit
Offset from the most stable computed form = 86.65 kJ per mole of atoms
Uncorrected formation energy = 3 meV/atom

[7]
ZnHgCl2 | SCAN | single point on PBEsol structure

Unit cell a=3.4836 b=3.4836 c=9.4038 alpha=79.33 beta=79.33 gamma=60.00
With the nearest neighbours (Å) after each atom.
Atoms (fractional coordinates):
Zn1 0.0000 0.0000 0.0000  6 Cl 2.44
Hg1 0.5000 0.5000 0.5000  6 Hg 3.48, 6 Cl 3.79
Cl1 0.2834 0.2834 0.1498  3 Zn 2.44
Cl2 0.7166 0.7166 0.8502  3 Zn 2.44

Properties
DFT total energy = -25.304 eV per atom
Total magnetic moment = 0.0 μB per formula unit
Offset from the most stable computed form = 0.00 kJ per mole of atoms
Uncorrected formation energy = -895 meV/atom

[8]
ZnHgCl2 | SCAN | single point on PBEsol structure

Unit cell a=3.4113 b=5.7015 c=5.3799 alpha=112.56 beta=90.00 gamma=90.00
With the nearest neighbours (Å) after each atom.
Atoms (fractional coordinates):
Zn1 0.5000 0.3175 0.8431  3 Cl 2.26-2.34
Hg1 0.0000 0.4612 0.5340  2 Zn 2.72, 2 Cl 2.89
Cl1 0.0000 0.0570 0.8927  2 Zn 2.34
Cl2 0.5000 0.6644 0.2302  1 Zn 2.26

Properties
DFT total energy = -25.194 eV per atom
Total magnetic moment = 0.0 μB per formula unit
Offset from the most stable computed form = 10.64 kJ per mole of atoms
Uncorrected formation energy = -784 meV/atom

[9]
ZnHg2Cl | SCAN | single point on PBEsol structure

Unit cell a=3.2852 b=3.2852 c=7.5664 alpha=90.00 beta=90.00 gamma=90.00
With the nearest neighbours (Å) after each atom.
Atoms (fractional coordinates):
Zn1 0.5000 0.5000 0.0000  8 Hg 2.91
Hg1 0.0000 0.0000 0.7689  4 Zn 2.91, 4 Cl 3.09
Hg2 0.0000 0.0000 0.2311  4 Zn 2.91, 4 Cl 3.09
Cl1 0.5000 0.5000 0.5000  8 Hg 3.09, 4 Cl 3.29

Properties
DFT total energy = -39.555 eV per atom
Total magnetic moment = 0.0 μB per formula unit
Offset from the most stable computed form = 13.11 kJ per mole of atoms
Uncorrected formation energy = -99 meV/atom

[10]
ZrHgCl2 | SCAN | single point on PBEsol structure

Unit cell a=3.3184 b=4.5017 c=5.3436 alpha=90.00 beta=90.00 gamma=90.00
With the nearest neighbours (Å) after each atom.
Atoms (fractional coordinates):
Hg1 0.5000 0.5000 0.0000  4 Cl 2.80
Zr1 0.0000 0.5000 0.5000  4 Cl 2.80
Cl1 0.0000 0.0000 0.0000  4 Hg 2.80
Cl2 0.5000 0.0000 0.5000  4 Zr 2.80

Properties
DFT total energy = -29.258 eV per atom
Total magnetic moment = 0.0 μB per formula unit
Offset from the most stable computed form = 69.92 kJ per mole of atoms
Uncorrected formation energy = -553 meV/atom

[11]
ZrHgCl | SCAN | single point on PBEsol structure

Unit cell a=4.5011 b=4.5011 c=4.5011 alpha=60.00 beta=60.00 gamma=60.00
With the nearest neighbours (Å) after each atom.
Atoms (fractional coordinates):
Hg1 0.0000 0.0000 0.0000  4 Cl 2.76
Zr1 0.5000 0.5000 0.5000  4 Cl 2.76
Cl1 0.2500 0.2500 0.2500  4 Zr 2.76, 4 Hg 2.76

Properties
DFT total energy = -35.571 eV per atom
Total magnetic moment = 0.0 μB per formula unit
Offset from the most stable computed form = 50.88 kJ per mole of atoms
Uncorrected formation energy = 44 meV/atom

[12]
ZrHgCl2 | SCAN | single point on PBEsol structure

Unit cell a=4.8890 b=4.8890 c=4.8890 alpha=60.00 beta=60.00 gamma=60.00
With the nearest neighbours (Å) after each atom.
Atoms (fractional coordinates):
Hg1 0.5000 0.5000 0.5000  4 Zr 2.99, 4 Cl 2.99
Zr1 0.2500 0.2500 0.2500  4 Cl 2.99, 4 Hg 2.99
Cl1 0.0000 0.0000 0.0000  4 Zr 2.99, 4 Cl 2.99
Cl2 0.7500 0.7500 0.7500  4 Hg 2.99, 4 Cl 2.99

Properties
DFT total energy = -29.021 eV per atom
Total magnetic moment = 2.0 μB per formula unit
Offset from the most stable computed form = 92.79 kJ per mole of atoms
Uncorrected formation energy = -316 meV/atom